# 1
CoCu2Tc PBE relaxed; ΔE to the lowest computed polymorph = 0.59 eV/f.u.; density of states at the Fermi level = 4.4 states/eV per cell; space group = Pmmm
1.0
2.4710 0.0000 0.0000
0.0000 3.9339 0.0000
0.0000 0.0000 5.1444
Co Cu Tc
1 2 1
direct
0.0000 0.0000 0.0000
0.5000 0.5000 0.2435
0.5000 0.5000 0.7565
0.0000 0.0000 0.5000


# 2
CoCu2Tc PBE relaxed; ΔE to the lowest computed polymorph = 0.39 eV/f.u.; density of states at the Fermi level = 3.5 states/eV per cell; space group = P4/mmm
1.0
2.5162 0.0000 0.0000
0.0000 2.5162 0.0000
0.0000 0.0000 7.8958
Co Cu Tc
1 2 1
direct
0.0000 0.0000 0.0000
0.5000 0.5000 0.2369
0.5000 0.5000 0.7631
0.0000 0.0000 0.5000


# 3
CoCu2Tc PBE relaxed; ΔE to the lowest computed polymorph = 0.19 eV/f.u.; density of states at the Fermi level = 4.2 states/eV per cell; space group = R3m
1.0
1.3152 0.7594 8.3910
-1.3152 0.7594 8.3910
0.0000 -1.5187 8.3910
Co Cu Tc
1 2 1
direct
0.0000 0.0000 0.0000
0.4970 0.4970 0.4970
0.7486 0.7486 0.7486
0.2528 0.2528 0.2528


# 4
TiCo2CuTc PBE relaxed; density of states at the Fermi level = 5.6 states/eV per cell; space group = P4/mmm; E_tot = -30.5 eV/f.u.
1.0
4.4391 0.0000 0.0000
0.0000 4.4391 0.0000
0.0000 0.0000 4.5361
Ti Co Cu Tc
1 2 1 1
direct
0.0000 0.0000 0.0000
0.0000 0.5000 0.5000
0.5000 0.0000 0.5000
0.5000 0.5000 0.0000
0.0000 0.0000 0.5000


# 5
CoCuTcW PBE relaxed; density of states at the Fermi level = 5.8 states/eV per cell; space group = F-43m; E_tot = -33.7 eV/f.u.
1.0
0.0000 2.9990 2.9990
2.9990 0.0000 2.9990
2.9990 2.9990 0.0000
Co Cu Tc W
1 1 1 1
direct
0.0000 0.0000 0.0000
0.7500 0.7500 0.7500
0.5000 0.5000 0.5000
0.2500 0.2500 0.2500


# 6
ZnCoCuTc PBE relaxed; density of states at the Fermi level = 4.9 states/eV per cell; space group = F-43m; E_tot = -22.0 eV/f.u.
1.0
0.0000 2.9438 2.9438
2.9438 0.0000 2.9438
2.9438 2.9438 0.0000
Zn Co Cu Tc
1 1 1 1
direct
0.0000 0.0000 0.0000
0.7500 0.7500 0.7500
0.2500 0.2500 0.2500
0.5000 0.5000 0.5000